{
  "formula": "PuRhPb2",
  "functional": "PBE-GGA",
  "state": "relaxed",
  "cell": [[3.360, 0.000, 0.000], [1.680, 2.910, 0.000], [1.680, 0.970, 10.633]],
  "species": ["Pu", "Pb", "Pb", "Rh"],
  "frac_coords": [[0.000, 0.000, 0.000], [0.102, 0.102, 0.694], [0.898, 0.898, 0.306], [0.500, 0.500, 0.500]],
  "dft_energy_ry_per_atom": -0.5189
}